(1)
The following is a PBE calculation of crystalline NdInPd at its relaxed geometry, from OQMD.

Output
Calculated total energy = -4.9829 eV per atom

Unit cell a=8.057 b=8.057 c=4.094 alpha=90.00 beta=90.00 gamma=120.09
Positions (direct):
In: 0.248 0.000 0.500
In: 0.000 0.248 0.500
In: 0.752 0.752 0.500
Nd: 0.589 0.000 0.000
Nd: 0.412 0.412 0.000
Nd: 0.000 0.589 0.000
Pd: 0.000 0.000 0.000
Pd: 0.666 0.333 0.500
Pd: 0.333 0.666 0.500

=====

(2)
The following is a PBE calculation of crystalline PrNdIn2Pd4 at its relaxed geometry, from OQMD.

Output
Calculated total energy = -5.2458 eV per atom

Unit cell a=4.658 b=4.658 c=9.174 alpha=90.00 beta=90.00 gamma=120.00
Positions (direct):
In: 0.667 0.333 0.249
In: 0.667 0.333 0.751
Nd: 0.333 0.667 0.000
Pd: 0.000 0.000 0.165
Pd: 0.333 0.667 0.332
Pd: 0.333 0.667 0.668
Pd: 0.000 0.000 0.835
Pr: 0.000 0.000 0.500

=====

(3)
The following is a PBE calculation of crystalline PrNd2In3Pd3 at its relaxed geometry, from OQMD.

Output
Calculated total energy = -5.0138 eV per atom

Unit cell a=4.060 b=7.763 c=7.763 alpha=120.03 beta=90.00 gamma=90.00
Positions (direct):
In: 0.500 0.748 0.001
In: 0.500 0.251 0.251
In: 0.500 0.001 0.748
Nd: 0.000 0.411 0.000
Nd: 0.000 0.000 0.411
Pd: 0.000 0.000 0.000
Pd: 0.500 0.667 0.332
Pd: 0.500 0.332 0.667
Pr: 0.000 0.589 0.589

=====

(4)
The following is a PBE calculation of crystalline Nd3In3Pd2Pt at its relaxed geometry, from OQMD.

Output
Calculated total energy = -5.1552 eV per atom

Unit cell a=7.740 b=7.740 c=4.075 alpha=90.00 beta=90.00 gamma=120.00
Positions (direct):
In: 0.253 0.000 0.500
In: 0.000 0.253 0.500
In: 0.747 0.747 0.500
Nd: 0.590 0.000 0.000
Nd: 0.410 0.410 0.000
Nd: 0.000 0.590 0.000
Pd: 0.667 0.333 0.500
Pd: 0.333 0.667 0.500
Pt: 0.000 0.000 0.000

=====

(5)
The following is a PBE calculation of crystalline NdInPdPt at its relaxed geometry, from OQMD.

Output
Calculated total energy = -5.5429 eV per atom

Unit cell a=4.651 b=4.651 c=9.229 alpha=90.00 beta=90.00 gamma=120.00
Positions (direct):
In: 0.000 0.000 0.249
In: 0.000 0.000 0.751
Nd: 0.333 0.667 0.000
Nd: 0.667 0.333 0.500
Pd: 0.333 0.667 0.337
Pd: 0.333 0.667 0.663
Pt: 0.667 0.333 0.167
Pt: 0.667 0.333 0.833

=====

(6)
The following is a PBE calculation of crystalline NdInPdPt at its relaxed geometry, from OQMD.

Output
Calculated total energy = -5.5484 eV per atom

Unit cell a=4.652 b=4.652 c=9.229 alpha=90.00 beta=90.00 gamma=120.00
Positions (direct):
In: 0.000 0.000 0.002
In: 0.000 0.000 0.502
Nd: 0.333 0.667 0.248
Nd: 0.667 0.333 0.748
Pd: 0.667 0.333 0.414
Pd: 0.333 0.667 0.914
Pt: 0.667 0.333 0.086
Pt: 0.333 0.667 0.586

=====

(7)
The following is a PBE calculation of crystalline NdInPdPt at its relaxed geometry, from OQMD.

Output
Calculated total energy = -5.5428 eV per atom

Unit cell a=4.653 b=4.653 c=9.240 alpha=90.00 beta=90.00 gamma=120.00
Positions (direct):
In: 0.000 0.000 0.000
In: 0.000 0.000 0.500
Nd: 0.333 0.667 0.255
Nd: 0.667 0.333 0.745
Pd: 0.667 0.333 0.082
Pd: 0.333 0.667 0.918
Pt: 0.667 0.333 0.410
Pt: 0.333 0.667 0.590

=====

(8)
The following is a PBE calculation of crystalline NdIn2PdPt at its relaxed geometry, from OQMD.

Output
Calculated total energy = -4.9764 eV per atom

Unit cell a=4.344 b=4.344 c=11.970 alpha=90.00 beta=90.00 gamma=90.00
Positions (direct):
In: 0.500 0.000 0.132
In: 0.000 0.000 0.500
In: 0.500 0.500 0.500
In: 0.000 0.500 0.868
Nd: 0.000 0.500 0.264
Nd: 0.500 0.000 0.736
Pd: 0.000 0.000 0.000
Pd: 0.500 0.500 0.000
Pt: 0.500 0.000 0.353
Pt: 0.000 0.500 0.647

=====

(9)
The following is a PBE calculation of crystalline Nd2In2PdPt3 at its relaxed geometry, from OQMD.

Output
Calculated total energy = -5.6829 eV per atom

Unit cell a=4.648 b=4.648 c=9.259 alpha=90.00 beta=90.00 gamma=120.00
Positions (direct):
In: 0.667 0.333 0.002
In: 0.667 0.333 0.500
Nd: 0.000 0.000 0.252
Nd: 0.333 0.667 0.746
Pd: 0.000 0.000 0.914
Pt: 0.333 0.667 0.083
Pt: 0.333 0.667 0.411
Pt: 0.000 0.000 0.592

=====

(10)
The following is a PBE calculation of crystalline Nd3In2SnPdPt2 at its relaxed geometry, from OQMD.

Output
Calculated total energy = -5.5151 eV per atom

Unit cell a=4.006 b=7.799 c=7.799 alpha=119.96 beta=90.00 gamma=90.00
Positions (direct):
In: 0.500 0.999 0.746
In: 0.500 0.746 0.999
Nd: 0.000 0.998 0.413
Nd: 0.000 0.587 0.587
Nd: 0.000 0.413 0.998
Pd: 0.000 0.005 0.005
Pt: 0.500 0.666 0.333
Pt: 0.500 0.333 0.666
Sn: 0.500 0.253 0.253

=====

(11)
The following is a PBE calculation of crystalline Nd2InSnPd4 at its relaxed geometry, from OQMD.

Output
Calculated total energy = -5.4363 eV per atom

Unit cell a=4.653 b=4.653 c=9.174 alpha=90.00 beta=90.00 gamma=120.00
Positions (direct):
In: 0.000 0.000 0.000
Nd: 0.333 0.667 0.250
Nd: 0.667 0.333 0.750
Pd: 0.667 0.333 0.083
Pd: 0.667 0.333 0.417
Pd: 0.333 0.667 0.583
Pd: 0.333 0.667 0.917
Sn: 0.000 0.000 0.500

=====

(12)
The following is a PBE calculation of crystalline SrNdIn2Pd4 at its relaxed geometry, from OQMD.

Output
Calculated total energy = -4.7857 eV per atom

Unit cell a=4.653 b=4.653 c=9.361 alpha=90.00 beta=90.00 gamma=120.00
Positions (direct):
In: 0.000 0.000 0.243
In: 0.000 0.000 0.757
Nd: 0.667 0.333 0.000
Pd: 0.333 0.667 0.162
Pd: 0.667 0.333 0.316
Pd: 0.667 0.333 0.684
Pd: 0.333 0.667 0.838
Sr: 0.333 0.667 0.500

=====

(13)
The following is a PBE calculation of crystalline Tb2NdIn3Pd3 at its relaxed geometry, from OQMD.

Output
Calculated total energy = -5.0037 eV per atom

Unit cell a=3.924 b=7.732 c=7.732 alpha=120.10 beta=90.00 gamma=90.00
Positions (direct):
In: 0.500 0.997 0.256
In: 0.500 0.746 0.746
In: 0.500 0.256 0.997
Nd: 0.000 0.410 0.410
Pd: 0.500 0.670 0.332
Pd: 0.500 0.332 0.670
Pd: 0.000 0.999 0.999
Tb: 0.000 0.000 0.590
Tb: 0.000 0.590 0.000

=====

(14)
The following is a PBE calculation of crystalline TbNdIn2Pd4 at its relaxed geometry, from OQMD.

Output
Calculated total energy = -5.2508 eV per atom

Unit cell a=4.628 b=4.628 c=9.070 alpha=90.00 beta=90.00 gamma=120.00
Positions (direct):
In: 0.000 0.000 0.254
In: 0.000 0.000 0.746
Nd: 0.667 0.333 0.000
Pd: 0.333 0.667 0.170
Pd: 0.667 0.333 0.339
Pd: 0.667 0.333 0.661
Pd: 0.333 0.667 0.830
Tb: 0.333 0.667 0.500

=====

(15)
The following is a PBE calculation of crystalline NdY2In3Pd3 at its relaxed geometry, from OQMD.

Output
Calculated total energy = -5.4150 eV per atom

Unit cell a=3.944 b=7.698 c=7.698 alpha=119.92 beta=90.00 gamma=90.00
Positions (direct):
In: 0.500 0.997 0.256
In: 0.500 0.746 0.746
In: 0.500 0.256 0.997
Nd: 0.000 0.410 0.410
Pd: 0.500 0.669 0.332
Pd: 0.500 0.332 0.669
Pd: 0.000 0.999 0.999
Y: 0.000 0.000 0.591
Y: 0.000 0.591 0.000

=====

(16)
The following is a PBE calculation of crystalline PrNdIn2 at its relaxed geometry, from OQMD.

Output
Calculated total energy = -4.2003 eV per atom

Unit cell a=4.457 b=6.404 c=6.404 alpha=42.99 beta=90.00 gamma=90.00
Positions (direct):
In: 0.000 0.081 0.081
In: 0.500 0.919 0.919
Nd: 0.000 0.360 0.360
Pr: 0.500 0.641 0.641

=====

(17)
The following is a PBE calculation of crystalline PrNdIn at its relaxed geometry, from OQMD.

Output
Calculated total energy = -4.2074 eV per atom

Unit cell a=5.346 b=5.346 c=5.346 alpha=60.00 beta=60.00 gamma=60.00
Positions (direct):
In: 0.000 0.000 0.000
Nd: 0.750 0.750 0.750
Pr: 0.250 0.250 0.250

=====

(18)
The following is a PBE calculation of crystalline PrNdIn2Pt4 at its relaxed geometry, from OQMD.

Output
Calculated total energy = -5.8090 eV per atom

Unit cell a=4.644 b=4.644 c=9.329 alpha=90.00 beta=90.00 gamma=120.00
Positions (direct):
In: 0.333 0.667 0.249
In: 0.333 0.667 0.751
Nd: 0.000 0.000 0.000
Pr: 0.667 0.333 0.500
Pt: 0.667 0.333 0.161
Pt: 0.000 0.000 0.336
Pt: 0.000 0.000 0.664
Pt: 0.667 0.333 0.839

=====

(19)
The following is a PBE calculation of crystalline PrNdIn4Pt2 at its relaxed geometry, from OQMD.

Output
Calculated total energy = -4.8151 eV per atom

Unit cell a=7.675 b=5.810 c=5.810 alpha=45.94 beta=90.00 gamma=90.00
Positions (direct):
In: 0.199 0.138 0.138
In: 0.801 0.138 0.138
In: 0.300 0.862 0.862
In: 0.700 0.862 0.862
Nd: 0.000 0.425 0.425
Pr: 0.500 0.574 0.574
Pt: 0.500 0.287 0.287
Pt: 0.000 0.713 0.713

=====

(20)
The following is a PBE calculation of crystalline PrNdZn2In2 at its relaxed geometry, from OQMD.

Output
Calculated total energy = -3.4035 eV per atom

Unit cell a=4.748 b=4.748 c=7.620 alpha=90.00 beta=90.00 gamma=120.00
Positions (direct):
In: 0.333 0.667 0.296
In: 0.667 0.333 0.793
Nd: 0.000 0.000 0.520
Pr: 0.000 0.000 0.020
Zn: 0.667 0.333 0.222
Zn: 0.333 0.667 0.719

=====

(21)
The following is a PBE calculation of crystalline NdInPt4 at its relaxed geometry, from OQMD.

Output
Calculated total energy = -6.0853 eV per atom

Unit cell a=5.436 b=5.436 c=5.436 alpha=60.00 beta=60.00 gamma=60.00
Positions (direct):
In: 0.500 0.500 0.500
Nd: 0.250 0.250 0.250
Pt: 0.875 0.875 0.376
Pt: 0.875 0.376 0.875
Pt: 0.376 0.875 0.875
Pt: 0.875 0.875 0.875

=====

(22)
The following is a PBE calculation of crystalline Nd2InSnPt4 at its relaxed geometry, from OQMD.

Output
Calculated total energy = -5.9867 eV per atom

Unit cell a=4.634 b=4.634 c=9.298 alpha=90.00 beta=90.00 gamma=120.00
Positions (direct):
In: 0.000 0.000 0.000
Nd: 0.667 0.333 0.250
Nd: 0.333 0.667 0.750
Pt: 0.333 0.667 0.088
Pt: 0.333 0.667 0.412
Pt: 0.667 0.333 0.588
Pt: 0.667 0.333 0.912
Sn: 0.000 0.000 0.500

=====

(23)
The following is a PBE calculation of crystalline TbNdIn2Pt4 at its relaxed geometry, from OQMD.

Output
Calculated total energy = -5.8238 eV per atom

Unit cell a=4.618 b=4.618 c=9.148 alpha=90.00 beta=90.00 gamma=120.00
Positions (direct):
In: 0.333 0.667 0.254
In: 0.333 0.667 0.746
Nd: 0.000 0.000 0.000
Pt: 0.667 0.333 0.166
Pt: 0.000 0.000 0.344
Pt: 0.000 0.000 0.656
Pt: 0.667 0.333 0.834
Tb: 0.667 0.333 0.500

=====

(24)
The following is a PBE calculation of crystalline NdTmIn2Pt4 at its relaxed geometry, from OQMD.

Output
Calculated total energy = -5.8076 eV per atom

Unit cell a=4.596 b=4.596 c=9.125 alpha=90.00 beta=90.00 gamma=120.00
Positions (direct):
In: 0.667 0.333 0.254
In: 0.667 0.333 0.746
Nd: 0.000 0.000 0.000
Pt: 0.333 0.667 0.167
Pt: 0.000 0.000 0.347
Pt: 0.000 0.000 0.653
Pt: 0.333 0.667 0.833
Tm: 0.333 0.667 0.500